a:
YRu3Se: optimized geometry, PBE.

## Properties
SG = Pm-3m
DOS(E_F) = 0.7186 states/eV/atom
size of the total moment = 5.3 μB per formula unit

CIF file:
```
data_YRu3Se
_chemical_formula_sum 'Y1 Ru3 Se1'
_cell_length_a 4.9433
_cell_length_b 4.9433
_cell_length_c 4.9433
_cell_angle_alpha 90.00
_cell_angle_beta 90.00
_cell_angle_gamma 90.00
_space_group_name_H-M_alt 'P 1'
_space_group_IT_number 1
_space_group_name_Hall 'P 1'
loop_
_atom_site_label
_atom_site_type_symbol
_atom_site_fract_x
_atom_site_fract_y
_atom_site_fract_z
_atom_site_occupancy
Ru1 Ru 0.0000 0.5000 0.0000 1
Ru2 Ru 0.5000 0.0000 0.0000 1
Ru3 Ru 0.0000 0.0000 0.5000 1
Y1 Y 0.0000 0.0000 0.0000 1
Se1 Se 0.5000 0.5000 0.5000 1
```

---

b:
YRu3Se: optimized geometry, PBE.

## Properties
SG = Pm-3m
DOS(E_F) = 0.8833 states/eV/atom
size of the total moment = 0.0 μB per formula unit

CIF file:
```
data_YRu3Se
_chemical_formula_sum 'Y1 Ru3 Se1'
_cell_length_a 4.5666
_cell_length_b 4.5666
_cell_length_c 4.5666
_cell_angle_alpha 90.00
_cell_angle_beta 90.00
_cell_angle_gamma 90.00
_space_group_name_H-M_alt 'P 1'
_space_group_IT_number 1
_space_group_name_Hall 'P 1'
loop_
_atom_site_label
_atom_site_type_symbol
_atom_site_fract_x
_atom_site_fract_y
_atom_site_fract_z
_atom_site_occupancy
Ru1 Ru 0.0000 0.5000 0.0000 1
Ru2 Ru 0.0000 0.0000 0.5000 1
Ru3 Ru 0.5000 0.0000 0.0000 1
Y1 Y 0.5000 0.5000 0.5000 1
Se1 Se 0.0000 0.0000 0.0000 1
```

---

Energies relative to the most stable structure are a 1.797; b 0.000, reported in eV/atom.

---

a:
ZnRuSe: optimized geometry, PBE.

## Properties
SG = Fmm2
DOS(E_F) = 0.8053 states/eV/atom
size of the total moment = 0.0 μB per formula unit

CIF file:
```
data_ZnRuSe
_chemical_formula_sum 'Zn1 Ru1 Se1'
_cell_length_a 7.1470
_cell_length_b 6.8279
_cell_length_c 2.9864
_cell_angle_alpha 83.72
_cell_angle_beta 71.74
_cell_angle_gamma 24.54
_space_group_name_H-M_alt 'P 1'
_space_group_IT_number 1
_space_group_name_Hall 'P 1'
loop_
_atom_site_label
_atom_site_type_symbol
_atom_site_fract_x
_atom_site_fract_y
_atom_site_fract_z
_atom_site_occupancy
Ru1 Ru 0.9960 0.9960 0.0040 1
Zn1 Zn 0.6521 0.6521 0.3479 1
Se1 Se 0.3519 0.3519 0.6481 1
```

---

b:
ZnRuSe: optimized geometry, PBE.

## Properties
SG = P-6m2
DOS(E_F) = 1.1032 states/eV/atom
size of the total moment = 0.0 μB per formula unit

CIF file:
```
data_ZnRuSe
_chemical_formula_sum 'Zn1 Ru1 Se1'
_cell_length_a 4.2172
_cell_length_b 4.2172
_cell_length_c 3.1781
_cell_angle_alpha 90.00
_cell_angle_beta 90.00
_cell_angle_gamma 120.00
_space_group_name_H-M_alt 'P 1'
_space_group_IT_number 1
_space_group_name_Hall 'P 1'
loop_
_atom_site_label
_atom_site_type_symbol
_atom_site_fract_x
_atom_site_fract_y
_atom_site_fract_z
_atom_site_occupancy
Se1 Se 0.6667 0.3333 0.1666 1
Zn1 Zn 0.3333 0.6667 0.6671 1
Ru1 Ru 0.0000 0.0000 0.1663 1
```

---

c:
ZnRuSe: optimized geometry, PBE.

## Properties
SG = F-43m
DOS(E_F) = 1.1321 states/eV/atom
size of the total moment = 0.0 μB per formula unit

CIF file:
```
data_ZnRuSe
_chemical_formula_sum 'Zn1 Ru1 Se1'
_cell_length_a 4.2180
_cell_length_b 4.2180
_cell_length_c 4.2180
_cell_angle_alpha 60.00
_cell_angle_beta 60.00
_cell_angle_gamma 60.00
_space_group_name_H-M_alt 'P 1'
_space_group_IT_number 1
_space_group_name_Hall 'P 1'
loop_
_atom_site_label
_atom_site_type_symbol
_atom_site_fract_x
_atom_site_fract_y
_atom_site_fract_z
_atom_site_occupancy
Zn1 Zn 0.5000 0.5000 0.5000 1
Se1 Se 0.0000 0.0000 0.0000 1
Ru1 Ru 0.7500 0.7500 0.7500 1
```

---

d:
ZnRuSe: optimized geometry, PBE.

## Properties
SG = I4mm
DOS(E_F) = 0.6248 states/eV/atom
size of the total moment = 0.0 μB per formula unit

CIF file:
```
data_ZnRuSe
_chemical_formula_sum 'Zn1 Ru1 Se1'
_cell_length_a 6.1736
_cell_length_b 6.1736
_cell_length_c 6.1736
_cell_angle_alpha 152.00
_cell_angle_beta 152.00
_cell_angle_gamma 40.02
_space_group_name_H-M_alt 'P 1'
_space_group_IT_number 1
_space_group_name_Hall 'P 1'
loop_
_atom_site_label
_atom_site_type_symbol
_atom_site_fract_x
_atom_site_fract_y
_atom_site_fract_z
_atom_site_occupancy
Zn1 Zn 0.6394 0.6394 0.0000 1
Ru1 Ru 0.9903 0.9903 0.0000 1
Se1 Se 0.3703 0.3703 0.0000 1
```

---

Energies relative to the most stable structure are a 0.296; b 0.225; c 0.166; d 0.000, reported in eV/atom.

---

a:
ZnRuSe: optimized geometry, PBE.

## Properties
SG = F-43m
DOS(E_F) = 1.3024 states/eV/atom
size of the total moment = 0.0 μB per formula unit

CIF file:
```
data_ZnRuSe
_chemical_formula_sum 'Zn1 Ru1 Se1'
_cell_length_a 4.2053
_cell_length_b 4.2053
_cell_length_c 4.2053
_cell_angle_alpha 60.00
_cell_angle_beta 60.00
_cell_angle_gamma 60.00
_space_group_name_H-M_alt 'P 1'
_space_group_IT_number 1
_space_group_name_Hall 'P 1'
loop_
_atom_site_label
_atom_site_type_symbol
_atom_site_fract_x
_atom_site_fract_y
_atom_site_fract_z
_atom_site_occupancy
Ru1 Ru 0.5000 0.5000 0.5000 1
Zn1 Zn 0.0000 0.0000 0.0000 1
Se1 Se 0.7500 0.7500 0.7500 1
```

---

b:
ZnRuSe: optimized geometry, PBE.

## Properties
SG = P3m1
DOS(E_F) = 0.1854 states/eV/atom
size of the total moment = 0.0 μB per formula unit

CIF file:
```
data_ZnRuSe
_chemical_formula_sum 'Zn1 Ru1 Se1'
_cell_length_a 3.2700
_cell_length_b 3.2700
_cell_length_c 5.8727
_cell_angle_alpha 90.00
_cell_angle_beta 90.00
_cell_angle_gamma 120.00
_space_group_name_H-M_alt 'P 1'
_space_group_IT_number 1
_space_group_name_Hall 'P 1'
loop_
_atom_site_label
_atom_site_type_symbol
_atom_site_fract_x
_atom_site_fract_y
_atom_site_fract_z
_atom_site_occupancy
Ru1 Ru 0.0000 0.0000 0.0208 1
Se1 Se 0.6667 0.3333 0.2734 1
Zn1 Zn 0.3333 0.6667 0.7059 1
```

---

Energies relative to the most stable structure are a 0.492; b 0.000, reported in eV/atom.

---

a:
ZnRu2Se2: optimized geometry, PBE.

## Properties
SG = P4/mbm
DOS(E_F) = 0.8910 states/eV/atom
size of the total moment = 0.0 μB per formula unit

CIF file:
```
data_ZnRu2Se2
_chemical_formula_sum 'Zn2 Ru4 Se4'
_cell_length_a 7.5200
_cell_length_b 7.5200
_cell_length_c 2.9583
_cell_angle_alpha 90.00
_cell_angle_beta 90.00
_cell_angle_gamma 90.00
_space_group_name_H-M_alt 'P 1'
_space_group_IT_number 1
_space_group_name_Hall 'P 1'
loop_
_atom_site_label
_atom_site_type_symbol
_atom_site_fract_x
_atom_site_fract_y
_atom_site_fract_z
_atom_site_occupancy
Se1 Se 0.6460 0.1460 0.0000 1
Se2 Se 0.1460 0.3540 0.0000 1
Se3 Se 0.3540 0.8540 0.0000 1
Se4 Se 0.8540 0.6460 0.0000 1
Zn1 Zn 0.0000 0.0000 0.0000 1
Zn2 Zn 0.5000 0.5000 0.0000 1
Ru1 Ru 0.8633 0.3633 0.5000 1
Ru2 Ru 0.1367 0.6367 0.5000 1
Ru3 Ru 0.6367 0.8633 0.5000 1
Ru4 Ru 0.3633 0.1367 0.5000 1
```

---

b:
ZnRu2Se2: optimized geometry, PBE.

## Properties
SG = I4/mmm
DOS(E_F) = 0.3294 states/eV/atom
size of the total moment = 0.0 μB per formula unit

CIF file:
```
data_ZnRu2Se2
_chemical_formula_sum 'Zn1 Ru2 Se2'
_cell_length_a 3.9839
_cell_length_b 3.9839
_cell_length_c 8.1335
_cell_angle_alpha 75.82
_cell_angle_beta 75.82
_cell_angle_gamma 90.00
_space_group_name_H-M_alt 'P 1'
_space_group_IT_number 1
_space_group_name_Hall 'P 1'
loop_
_atom_site_label
_atom_site_type_symbol
_atom_site_fract_x
_atom_site_fract_y
_atom_site_fract_z
_atom_site_occupancy
Se1 Se 0.3416 0.3416 0.3167 1
Se2 Se 0.6584 0.6584 0.6833 1
Zn1 Zn 0.0000 0.0000 0.0000 1
Ru1 Ru 0.2500 0.7500 0.5000 1
Ru2 Ru 0.7500 0.2500 0.5000 1
```

---

Energies relative to the most stable structure are a 0.357; b 0.000, reported in eV/atom.